First-principles (GGA-PBE) data for an optimized crystal structure of KCuIr3, as listed in the Alexandria database.

**SG**: Pm-3m, No. 221
**VASP energy**: -3.085 eV per atom
**Energy above the lowest structure with this stoichiometry**: 8.644 eV per formula unit
**Formation enthalpy at 0 K**: 75.42 kcal/mol of atoms
**D(E_F)**: 2.170 states/eV per atom

a = 4.666 Å, b = 4.666 Å, c = 4.666 Å
α = 90.00°, β = 90.00°, γ = 90.00°
Sites, in units of the cell vectors:
K  0.000  0.000  0.000
Cu  0.500  0.500  0.500
Ir  0.000  0.000  0.500
Ir  0.000  0.500  0.000
Ir  0.500  0.000  0.000

First-principles (GGA-PBE) data for an optimized crystal structure of LaSm7Cd2, as listed in the Alexandria database.

**SG**: Cmmm, No. 65
**VASP energy**: -3.595 eV per atom
**Formation enthalpy at 0 K**: 8.86 kcal/mol of atoms
**D(E_F)**: 2.108 states/eV per atom

a = 9.070 Å, b = 9.070 Å, c = 5.487 Å
α = 90.00°, β = 90.00°, γ = 119.71°
Sites, in units of the cell vectors:
La  0.000  0.000  0.000
Sm  0.061  0.301  0.500
Sm  0.233  0.767  0.000
Sm  0.301  0.061  0.500
Sm  0.500  0.500  0.500
Sm  0.699  0.939  0.500
Sm  0.767  0.233  0.000
Sm  0.939  0.699  0.500
Cd  0.303  0.697  0.500
Cd  0.697  0.303  0.500

First-principles (GGA-PBE) data for an optimized crystal structure of HoZrTcNi, as listed in the Alexandria database.

**SG**: F-43m, No. 216
**VASP energy**: -7.590 eV per atom
**Formation enthalpy at 0 K**: -6.26 kcal/mol of atoms
**D(E_F)**: 0.660 states/eV per atom

a = 4.692 Å, b = 4.692 Å, c = 4.692 Å
α = 60.00°, β = 60.00°, γ = 60.00°
Sites, in units of the cell vectors:
Ho  0.000  0.000  0.000
Zr  0.500  0.500  0.500
Tc  0.750  0.750  0.750
Ni  0.250  0.250  0.250

First-principles (GGA-PBE) data for an optimized crystal structure of Ti2Te4Mo, as listed in the Alexandria database.

**Raw formation energy**: -455 meV per atom
**SG**: C2/m, No. 12
**VASP energy**: -6.053 eV per atom
**D(E_F)**: 0.674 states/eV per atom

a = 7.479 Å, b = 7.479 Å, c = 6.940 Å
α = 115.71°, β = 115.71°, γ = 28.20°
Sites, in units of the cell vectors:
Ti  0.247  0.247  0.197
Ti  0.753  0.753  0.803
Te  0.137  0.137  0.466
Te  0.397  0.397  0.063
Te  0.603  0.603  0.937
Te  0.863  0.863  0.534
Mo  0.500  0.500  0.500

First-principles (GGA-PBE) data for an optimized crystal structure of FeNi6Mo, as listed in the Alexandria database.

**SG**: P4/mmm, No. 123
**VASP energy**: -6.777 eV per atom
**Energy above the lowest structure with this stoichiometry**: 0.000 eV per formula unit
**Formation enthalpy at 0 K**: -0.67 kcal/mol of atoms
**D(E_F)**: 0.992 states/eV per atom

a = 3.594 Å, b = 3.594 Å, c = 7.176 Å
α = 90.00°, β = 90.00°, γ = 90.00°
Sites, in units of the cell vectors:
Fe  0.000  0.000  0.000
Ni  0.000  0.500  0.247
Ni  0.000  0.500  0.753
Ni  0.500  0.000  0.247
Ni  0.500  0.000  0.753
Ni  0.500  0.500  0.000
Ni  0.500  0.500  0.500
Mo  0.000  0.000  0.500

First-principles (GGA-PBE) data for an optimized crystal structure of Nd5Tm4Hg4, as listed in the Alexandria database.

**SG**: I4/m, No. 87
**VASP energy**: -3.612 eV per atom
**Formation enthalpy at 0 K**: -7.13 kcal/mol of atoms
**D(E_F)**: 0.796 states/eV per atom

a = 9.037 Å, b = 9.037 Å, c = 9.037 Å
α = 94.63°, β = 94.63°, γ = 146.99°
Sites, in units of the cell vectors:
Nd  0.000  0.000  0.000
Nd  0.313  0.620  0.934
Nd  0.380  0.313  0.693
Nd  0.620  0.687  0.307
Nd  0.687  0.380  0.066
Tm  0.097  0.400  0.498
Tm  0.400  0.903  0.303
Tm  0.600  0.097  0.697
Tm  0.903  0.600  0.502
Hg  0.089  0.755  0.844
Hg  0.245  0.089  0.334
Hg  0.755  0.911  0.666
Hg  0.911  0.245  0.156

First-principles (GGA-PBE) data for an optimized crystal structure of AlPbS2, as listed in the Alexandria database.

**Raw formation energy**: -755 meV per atom
**SG**: Fmmm, No. 69
**VASP energy**: -4.681 eV per atom
**D(E_F)**: 0.257 states/eV per atom

a = 8.104 Å, b = 6.532 Å, c = 6.507 Å
α = 76.86°, β = 51.71°, γ = 51.43°
Sites, in units of the cell vectors:
Al  0.250  0.750  0.750
Al  0.750  0.250  0.250
Pb  0.000  0.500  0.500
Pb  0.500  0.000  0.000
S  0.147  0.147  0.853
S  0.352  0.648  0.352
S  0.648  0.352  0.648
S  0.853  0.853  0.147

First-principles (GGA-PBE) data for an optimized crystal structure of TbPu2Si, as listed in the Alexandria database.

**Raw formation energy**: -227 meV per atom
**SG**: P4/mmm, No. 123
**VASP energy**: -9.906 eV per atom
**Energy above the lowest structure with this stoichiometry**: 0.000 eV per formula unit
**D(E_F)**: 2.422 states/eV per atom

a = 4.362 Å, b = 4.362 Å, c = 4.859 Å
α = 90.00°, β = 90.00°, γ = 90.00°
Sites, in units of the cell vectors:
Tb  0.000  0.000  0.000
Pu  0.000  0.500  0.500
Pu  0.500  0.000  0.500
Si  0.500  0.500  0.000

Repeat the second record exactly.
First-principles (GGA-PBE) data for an optimized crystal structure of LaSm7Cd2, as listed in the Alexandria database.

**SG**: Cmmm, No. 65
**VASP energy**: -3.595 eV per atom
**Formation enthalpy at 0 K**: 8.86 kcal/mol of atoms
**D(E_F)**: 2.108 states/eV per atom

a = 9.070 Å, b = 9.070 Å, c = 5.487 Å
α = 90.00°, β = 90.00°, γ = 119.71°
Sites, in units of the cell vectors:
La  0.000  0.000  0.000
Sm  0.061  0.301  0.500
Sm  0.233  0.767  0.000
Sm  0.301  0.061  0.500
Sm  0.500  0.500  0.500
Sm  0.699  0.939  0.500
Sm  0.767  0.233  0.000
Sm  0.939  0.699  0.500
Cd  0.303  0.697  0.500
Cd  0.697  0.303  0.500